The following is a PBE calculation of a relaxed structure of Ac2LaSm4Tm, from Alexandria via LeMat-Bulk.

For the calculated formation energy, the calculation gives 3.13 eV/f.u. For the calculated volume, the calculation gives 37.25 A^3/atom. Its size of the total moment is 0.04 μB/cell.

The structure belongs to space group C2/c (No. 15); the cell edges are 14.0775, 13.7581 and 7.1305 Å and the angles 90.00°, 120.34° and 90.00°. The distinct sites, in fractional coordinates, are Ac at (0.0000, 0.0000, 0.0000), Ac at (0.2500, 0.2500, 0.0000), La at (0.0000, 0.5000, 0.0000), Sm at (0.0006, 0.2608, 0.4845), Sm at (0.2371, 0.4884, 0.4883) and Tm at (0.2500, 0.2500, 0.5000).

The following is a PBE calculation of a relaxed structure of Ac2LaSm5Tm, from Alexandria via LeMat-Bulk.

For the calculated formation energy, the calculation gives 1.32 eV/f.u. For the calculated volume, the calculation gives 36.41 A^3/atom. Its size of the total moment is 0.00 μB/cell.

The structure belongs to space group Cmc2_1 (No. 36); the cell edges are 5.8447, 20.4417 and 10.9710 Å and the angles 90.00°, 90.00° and 90.00°. The distinct sites, in fractional coordinates, are Ac at (0.0000, 0.1144, 0.0000), Ac at (0.0000, 0.1160, 0.5874), La at (0.0000, 0.4135, 0.7341), Sm at (0.0000, 0.0186, 0.2925), Sm at (0.0000, 0.2823, 0.5839), Sm at (0.0000, 0.2955, 0.9768), Sm at (0.0000, 0.3848, 0.2889), Sm at (0.0000, 0.4846, 0.0117) and Tm at (0.0000, 0.2057, 0.2808).

Q: Which formula does entry 1 have?
A: Ac2LaSm4Tm